PuMgInPb after structural relaxation, computed with GGA-PBE.

a = 4.501 Å, b = 4.741 Å, c = 4.852 Å
α = 90.00°, β = 90.00°, γ = 90.00°
Space group Pmmm (No. 47)
Symmetry-distinct sites (fractional):
Pu1 0.000 0.000 0.000 (multiplicity 1)
Mg1 0.000 0.500 0.500 (multiplicity 1)
In1 0.500 0.000 0.500 (multiplicity 1)
Pb1 0.500 0.500 0.000 (multiplicity 1)

Summary:
* energy above the lowest structure with this stoichiometry: 0 meV/atom
* density of states at the Fermi level: 12.481 states/eV/f.u.
* formation energy: -163 meV per atom
* M_tot: 1.421 μB per atom
* ρ: 9.467 g cm⁻³